Entry one
A plane-wave DFT calculation with PBE-GGA was carried out for Pb3Cl after structural relaxation.

Cell and atoms, written as CIF:
```
data_Pb3Cl
_chemical_formula_sum 'Pb3 Cl1'
_cell_length_a 10.909
_cell_length_b 10.909
_cell_length_c 10.909
_cell_angle_alpha 18.88
_cell_angle_beta 18.88
_cell_angle_gamma 18.88
_symmetry_space_group_name_H-M 'P 1'
_symmetry_Int_Tables_number 1
_symmetry_space_group_name_Hall 'P 1'
loop_
_atom_site_label
_atom_site_fract_x
_atom_site_fract_y
_atom_site_fract_z
Pb1 0.000 0.000 0.000
Pb2 0.241 0.241 0.241
Pb3 0.759 0.759 0.759
Cl1 0.500 0.500 0.500
```

Crystal system = trigonal
Spin magnetization = 0.00 μB per formula unit

***

Entry two
A plane-wave DFT calculation with PBE-GGA was carried out for Pb3Cl after structural relaxation.

Cell and atoms, written as CIF:
```
data_Pb3Cl
_chemical_formula_sum 'Pb6 Cl2'
_cell_length_a 6.929
_cell_length_b 6.929
_cell_length_c 5.785
_cell_angle_alpha 90.00
_cell_angle_beta 90.00
_cell_angle_gamma 120.00
_symmetry_space_group_name_H-M 'P 1'
_symmetry_Int_Tables_number 1
_symmetry_space_group_name_Hall 'P 1'
loop_
_atom_site_label
_atom_site_fract_x
_atom_site_fract_y
_atom_site_fract_z
Pb1 0.163 0.327 0.250
Pb2 0.163 0.837 0.250
Pb3 0.327 0.163 0.750
Pb4 0.673 0.837 0.250
Pb5 0.837 0.163 0.750
Pb6 0.837 0.673 0.750
Cl1 0.333 0.667 0.750
Cl2 0.667 0.333 0.250
```

Crystal system = hexagonal
Spin magnetization = 0.00 μB per formula unit

***

Bottom line: entry one, by a margin of 192 meV/atom.

***

Entry one
A plane-wave DFT calculation with PBE-GGA was carried out for Pb3Cl after structural relaxation.

Cell and atoms, written as CIF:
```
data_Pb3Cl
_chemical_formula_sum 'Pb6 Cl2'
_cell_length_a 6.641
_cell_length_b 6.641
_cell_length_c 5.866
_cell_angle_alpha 90.00
_cell_angle_beta 90.00
_cell_angle_gamma 95.66
_symmetry_space_group_name_H-M 'P 1'
_symmetry_Int_Tables_number 1
_symmetry_space_group_name_Hall 'P 1'
loop_
_atom_site_label
_atom_site_fract_x
_atom_site_fract_y
_atom_site_fract_z
Pb1 0.055 0.393 0.750
Pb2 0.100 0.900 0.750
Pb3 0.393 0.055 0.250
Pb4 0.607 0.945 0.750
Pb5 0.900 0.100 0.250
Pb6 0.945 0.607 0.250
Cl1 0.379 0.621 0.250
Cl2 0.621 0.379 0.750
```

Crystal system = orthorhombic
Spin magnetization = 0.00 μB per formula unit

***

Entry two
A plane-wave DFT calculation with PBE-GGA was carried out for Pb3Cl after structural relaxation.

Cell and atoms, written as CIF:
```
data_Pb3Cl
_chemical_formula_sum 'Pb6 Cl2'
_cell_length_a 6.255
_cell_length_b 6.255
_cell_length_c 6.255
_cell_angle_alpha 90.00
_cell_angle_beta 90.00
_cell_angle_gamma 90.00
_symmetry_space_group_name_H-M 'P 1'
_symmetry_Int_Tables_number 1
_symmetry_space_group_name_Hall 'P 1'
loop_
_atom_site_label
_atom_site_fract_x
_atom_site_fract_y
_atom_site_fract_z
Pb1 0.000 0.250 0.500
Pb2 0.000 0.750 0.500
Pb3 0.250 0.500 0.000
Pb4 0.500 0.000 0.250
Pb5 0.500 0.000 0.750
Pb6 0.750 0.500 0.000
Cl1 0.000 0.000 0.000
Cl2 0.500 0.500 0.500
```

Crystal system = cubic
Spin magnetization = 0.00 μB per formula unit

***

Entry three
A plane-wave DFT calculation with PBE-GGA was carried out for Pb3Cl after structural relaxation.

Cell and atoms, written as CIF:
```
data_Pb3Cl
_chemical_formula_sum 'Pb3 Cl1'
_cell_length_a 3.597
_cell_length_b 3.597
_cell_length_c 10.496
_cell_angle_alpha 90.00
_cell_angle_beta 90.00
_cell_angle_gamma 120.00
_symmetry_space_group_name_H-M 'P 1'
_symmetry_Int_Tables_number 1
_symmetry_space_group_name_Hall 'P 1'
loop_
_atom_site_label
_atom_site_fract_x
_atom_site_fract_y
_atom_site_fract_z
Pb1 0.000 0.000 0.000
Pb2 0.667 0.333 0.273
Pb3 0.667 0.333 0.727
Cl1 0.000 0.000 0.500
```

Crystal system = hexagonal
Spin magnetization = 0.00 μB per formula unit

***

Entry four
A plane-wave DFT calculation with PBE-GGA was carried out for Pb3Cl after structural relaxation.

Cell and atoms, written as CIF:
```
data_Pb3Cl
_chemical_formula_sum 'Pb3 Cl1'
_cell_length_a 3.582
_cell_length_b 3.582
_cell_length_c 9.349
_cell_angle_alpha 90.00
_cell_angle_beta 90.00
_cell_angle_gamma 98.99
_symmetry_space_group_name_H-M 'P 1'
_symmetry_Int_Tables_number 1
_symmetry_space_group_name_Hall 'P 1'
loop_
_atom_site_label
_atom_site_fract_x
_atom_site_fract_y
_atom_site_fract_z
Pb1 0.000 0.000 0.000
Pb2 0.500 0.500 0.261
Pb3 0.500 0.500 0.739
Cl1 0.000 0.000 0.500
```

Crystal system = orthorhombic
Spin magnetization = 0.00 μB per formula unit

***

Bottom line: entry three, by a margin of 11 meV/atom.

***

Entry one
A plane-wave DFT calculation with PBE-GGA was carried out for Pb3Cl after structural relaxation.

Cell and atoms, written as CIF:
```
data_Pb3Cl
_chemical_formula_sum 'Pb3 Cl1'
_cell_length_a 5.480
_cell_length_b 5.480
_cell_length_c 5.480
_cell_angle_alpha 60.00
_cell_angle_beta 60.00
_cell_angle_gamma 60.00
_symmetry_space_group_name_H-M 'P 1'
_symmetry_Int_Tables_number 1
_symmetry_space_group_name_Hall 'P 1'
loop_
_atom_site_label
_atom_site_fract_x
_atom_site_fract_y
_atom_site_fract_z
Pb1 0.000 0.000 0.000
Pb2 0.250 0.250 0.250
Pb3 0.750 0.750 0.750
Cl1 0.500 0.500 0.500
```

Crystal system = cubic
Spin magnetization = 0.00 μB per formula unit

***

Entry two
A plane-wave DFT calculation with PBE-GGA was carried out for Pb3Cl after structural relaxation.

Cell and atoms, written as CIF:
```
data_Pb3Cl
_chemical_formula_sum 'Pb3 Cl1'
_cell_length_a 3.507
_cell_length_b 5.299
_cell_length_c 6.526
_cell_angle_alpha 90.00
_cell_angle_beta 103.05
_cell_angle_gamma 90.00
_symmetry_space_group_name_H-M 'P 1'
_symmetry_Int_Tables_number 1
_symmetry_space_group_name_Hall 'P 1'
loop_
_atom_site_label
_atom_site_fract_x
_atom_site_fract_y
_atom_site_fract_z
Pb1 0.000 0.000 0.000
Pb2 0.326 0.500 0.735
Pb3 0.674 0.500 0.265
Cl1 0.500 0.000 0.500
```

Crystal system = monoclinic
Spin magnetization = 0.00 μB per formula unit

***

Entry three
A plane-wave DFT calculation with PBE-GGA was carried out for Pb3Cl after structural relaxation.

Cell and atoms, written as CIF:
```
data_Pb3Cl
_chemical_formula_sum 'Pb6 Cl2'
_cell_length_a 8.763
_cell_length_b 8.763
_cell_length_c 8.763
_cell_angle_alpha 143.61
_cell_angle_beta 143.61
_cell_angle_gamma 52.42
_symmetry_space_group_name_H-M 'P 1'
_symmetry_Int_Tables_number 1
_symmetry_space_group_name_Hall 'P 1'
loop_
_atom_site_label
_atom_site_fract_x
_atom_site_fract_y
_atom_site_fract_z
Pb1 0.000 0.500 0.500
Pb2 0.135 0.135 0.000
Pb3 0.250 0.750 0.500
Pb4 0.500 0.000 0.500
Pb5 0.750 0.250 0.500
Pb6 0.865 0.865 0.000
Cl1 0.398 0.398 0.000
Cl2 0.602 0.602 0.000
```

Crystal system = tetragonal
Spin magnetization = 0.00 μB per formula unit

***

Entry four
A plane-wave DFT calculation with PBE-GGA was carried out for Pb3Cl after structural relaxation.

Cell and atoms, written as CIF:
```
data_Pb3Cl
_chemical_formula_sum 'Pb3 Cl1'
_cell_length_a 4.942
_cell_length_b 4.942
_cell_length_c 4.942
_cell_angle_alpha 90.00
_cell_angle_beta 90.00
_cell_angle_gamma 90.00
_symmetry_space_group_name_H-M 'P 1'
_symmetry_Int_Tables_number 1
_symmetry_space_group_name_Hall 'P 1'
loop_
_atom_site_label
_atom_site_fract_x
_atom_site_fract_y
_atom_site_fract_z
Pb1 0.000 0.000 0.500
Pb2 0.000 0.500 0.000
Pb3 0.500 0.000 0.000
Cl1 0.500 0.500 0.500
```

Crystal system = cubic
Spin magnetization = 0.00 μB per formula unit

***

Bottom line: entry three, by a margin of 23 meV/atom.

***

Entry one
A plane-wave DFT calculation with PBE-GGA was carried out for Pb3Cl after structural relaxation.

Cell and atoms, written as CIF:
```
data_Pb3Cl
_chemical_formula_sum 'Pb3 Cl1'
_cell_length_a 5.828
_cell_length_b 5.828
_cell_length_c 3.514
_cell_angle_alpha 90.00
_cell_angle_beta 90.00
_cell_angle_gamma 90.23
_symmetry_space_group_name_H-M 'P 1'
_symmetry_Int_Tables_number 1
_symmetry_space_group_name_Hall 'P 1'
loop_
_atom_site_label
_atom_site_fract_x
_atom_site_fract_y
_atom_site_fract_z
Pb1 0.000 0.000 0.000
Pb2 0.000 0.500 0.500
Pb3 0.500 0.000 0.500
Cl1 0.500 0.500 0.000
```

Crystal system = orthorhombic
Spin magnetization = 0.00 μB per formula unit

***

Entry two
A plane-wave DFT calculation with PBE-GGA was carried out for Pb3Cl after structural relaxation.

Cell and atoms, written as CIF:
```
data_Pb3Cl
_chemical_formula_sum 'Pb3 Cl1'
_cell_length_a 7.816
_cell_length_b 7.816
_cell_length_c 5.036
_cell_angle_alpha 108.71
_cell_angle_beta 108.71
_cell_angle_gamma 26.29
_symmetry_space_group_name_H-M 'P 1'
_symmetry_Int_Tables_number 1
_symmetry_space_group_name_Hall 'P 1'
loop_
_atom_site_label
_atom_site_fract_x
_atom_site_fract_y
_atom_site_fract_z
Pb1 0.000 0.000 0.000
Pb2 0.299 0.299 0.798
Pb3 0.701 0.701 0.202
Cl1 0.500 0.500 0.500
```

Crystal system = monoclinic
Spin magnetization = 0.00 μB per formula unit

***

Bottom line: entry two, by a margin of 37 meV/atom.

***

Entry one
A plane-wave DFT calculation with PBE-GGA was carried out for Pb3Cl2 after structural relaxation.

Cell and atoms, written as CIF:
```
data_Pb3Cl2
_chemical_formula_sum 'Pb3 Cl2'
_cell_length_a 13.554
_cell_length_b 13.554
_cell_length_c 13.554
_cell_angle_alpha 16.63
_cell_angle_beta 16.63
_cell_angle_gamma 16.63
_symmetry_space_group_name_H-M 'P 1'
_symmetry_Int_Tables_number 1
_symmetry_space_group_name_Hall 'P 1'
loop_
_atom_site_label
_atom_site_fract_x
_atom_site_fract_y
_atom_site_fract_z
Pb1 0.000 0.000 0.000
Pb2 0.198 0.198 0.198
Pb3 0.802 0.802 0.802
Cl1 0.378 0.378 0.378
Cl2 0.622 0.622 0.622
```

Crystal system = trigonal
Spin magnetization = 0.00 μB per formula unit

***

Entry two
A plane-wave DFT calculation with PBE-GGA was carried out for Pb3Cl2 after structural relaxation.

Cell and atoms, written as CIF:
```
data_Pb3Cl2
_chemical_formula_sum 'Pb3 Cl2'
_cell_length_a 5.425
_cell_length_b 5.425
_cell_length_c 6.033
_cell_angle_alpha 90.00
_cell_angle_beta 90.00
_cell_angle_gamma 120.00
_symmetry_space_group_name_H-M 'P 1'
_symmetry_Int_Tables_number 1
_symmetry_space_group_name_Hall 'P 1'
loop_
_atom_site_label
_atom_site_fract_x
_atom_site_fract_y
_atom_site_fract_z
Pb1 0.000 0.000 0.000
Pb2 0.333 0.667 0.445
Pb3 0.667 0.333 0.555
Cl1 0.333 0.667 0.931
Cl2 0.667 0.333 0.069
```

Crystal system = trigonal
Spin magnetization = 0.00 μB per formula unit

***

Entry three
A plane-wave DFT calculation with PBE-GGA was carried out for Pb3Cl2 after structural relaxation.

Cell and atoms, written as CIF:
```
data_Pb3Cl2
_chemical_formula_sum 'Pb6 Cl4'
_cell_length_a 8.146
_cell_length_b 7.184
_cell_length_c 9.620
_cell_angle_alpha 55.74
_cell_angle_beta 46.80
_cell_angle_gamma 77.46
_symmetry_space_group_name_H-M 'P 1'
_symmetry_Int_Tables_number 1
_symmetry_space_group_name_Hall 'P 1'
loop_
_atom_site_label
_atom_site_fract_x
_atom_site_fract_y
_atom_site_fract_z
Pb1 0.000 0.000 0.000
Pb2 0.250 0.250 0.250
Pb3 0.382 0.756 0.478
Pb4 0.756 0.382 0.384
Pb5 0.772 0.866 0.868
Pb6 0.866 0.772 0.494
Cl1 0.237 0.537 0.386
Cl2 0.409 0.864 0.713
Cl3 0.537 0.237 0.841
Cl4 0.864 0.409 0.013
```

Crystal system = orthorhombic
Spin magnetization = 0.00 μB per formula unit

***

Bottom line: entry one, by a margin of 100 meV/atom.